Entry 1:
# GGA-PBE BaHg3Cl, relaxed
data_BaHg3Cl
_chemical_formula_sum 'Ba1 Hg3 Cl1'
_cell_length_a 5.895
_cell_length_b 5.895
_cell_length_c 5.895
_cell_angle_alpha 90.00
_cell_angle_beta 90.00
_cell_angle_gamma 90.00
_symmetry_space_group_name_H-M 'P 1'
_symmetry_Int_Tables_number 1
loop_
_symmetry_equiv_pos_as_xyz
'x,y,z'
loop_
_atom_site_label
_atom_site_type_symbol
_atom_site_fract_x
_atom_site_fract_y
_atom_site_fract_z
_atom_site_occupancy
Ba1 Ba 0.000 0.000 0.000 1
Hg1 Hg 0.000 0.500 0.500 1
Hg2 Hg 0.500 0.000 0.500 1
Hg3 Hg 0.500 0.500 0.000 1
Cl1 Cl 0.500 0.500 0.500 1
# V = 40.97 Å³/atom
# M_tot = 0.00 Bohr magnetons per cell
# Raw total energy = -1.16 eV/atom

---

Entry 2:
# GGA-PBE Tb5Co6, relaxed
data_Tb5Co6
_chemical_formula_sum 'Tb5 Co6'
_cell_length_a 13.605
_cell_length_b 13.605
_cell_length_c 4.097
_cell_angle_alpha 90.00
_cell_angle_beta 90.00
_cell_angle_gamma 163.54
_symmetry_space_group_name_H-M 'P 1'
_symmetry_Int_Tables_number 1
loop_
_symmetry_equiv_pos_as_xyz
'x,y,z'
loop_
_atom_site_label
_atom_site_type_symbol
_atom_site_fract_x
_atom_site_fract_y
_atom_site_fract_z
_atom_site_occupancy
Tb1 Tb 0.000 0.000 0.000 1
Tb2 Tb 0.195 0.805 0.500 1
Tb3 Tb 0.385 0.615 0.000 1
Tb4 Tb 0.615 0.385 0.000 1
Tb5 Tb 0.805 0.195 0.500 1
Co1 Co 0.083 0.917 0.500 1
Co2 Co 0.271 0.729 0.000 1
Co3 Co 0.458 0.542 0.500 1
Co4 Co 0.542 0.458 0.500 1
Co5 Co 0.729 0.271 0.000 1
Co6 Co 0.917 0.083 0.500 1
# V = 19.53 Å³/atom
# M_tot = 1.45 Bohr magnetons per cell
# Raw total energy = -6.17 eV/atom

---

Entry 3:
# GGA-PBE NdAl4, relaxed
data_NdAl4
_chemical_formula_sum 'Nd1 Al4'
_cell_length_a 5.647
_cell_length_b 5.647
_cell_length_c 5.647
_cell_angle_alpha 90.00
_cell_angle_beta 90.00
_cell_angle_gamma 90.00
_symmetry_space_group_name_H-M 'P 1'
_symmetry_Int_Tables_number 1
loop_
_symmetry_equiv_pos_as_xyz
'x,y,z'
loop_
_atom_site_label
_atom_site_type_symbol
_atom_site_fract_x
_atom_site_fract_y
_atom_site_fract_z
_atom_site_occupancy
Nd1 Nd 0.000 0.000 0.000 1
Al1 Al 0.000 0.000 0.500 1
Al2 Al 0.000 0.500 0.000 1
Al3 Al 0.500 0.000 0.000 1
Al4 Al 0.500 0.500 0.500 1
# V = 36.01 Å³/atom
# M_tot = 0.00 Bohr magnetons per cell
# Raw total energy = -2.68 eV/atom

---

Entry 4:
# GGA-PBE Th3Cu2Rh5, relaxed
data_Th3Cu2Rh5
_chemical_formula_sum 'Th6 Cu4 Rh10'
_cell_length_a 9.809
_cell_length_b 9.809
_cell_length_c 3.864
_cell_angle_alpha 90.00
_cell_angle_beta 90.00
_cell_angle_gamma 90.00
_symmetry_space_group_name_H-M 'P 1'
_symmetry_Int_Tables_number 1
loop_
_symmetry_equiv_pos_as_xyz
'x,y,z'
loop_
_atom_site_label
_atom_site_type_symbol
_atom_site_fract_x
_atom_site_fract_y
_atom_site_fract_z
_atom_site_occupancy
Th1 Th 0.000 0.000 0.000 1
Th2 Th 0.167 0.333 0.000 1
Th3 Th 0.333 0.833 0.000 1
Th4 Th 0.500 0.500 0.000 1
Th5 Th 0.667 0.167 0.000 1
Th6 Th 0.833 0.667 0.000 1
Cu1 Cu 0.125 0.625 0.000 1
Cu2 Cu 0.375 0.125 0.000 1
Cu3 Cu 0.625 0.875 0.000 1
Cu4 Cu 0.875 0.375 0.000 1
Rh1 Rh 0.000 0.500 0.500 1
Rh2 Rh 0.075 0.791 0.500 1
Rh3 Rh 0.209 0.075 0.500 1
Rh4 Rh 0.291 0.575 0.500 1
Rh5 Rh 0.425 0.291 0.500 1
Rh6 Rh 0.500 0.000 0.500 1
Rh7 Rh 0.575 0.709 0.500 1
Rh8 Rh 0.709 0.425 0.500 1
Rh9 Rh 0.791 0.925 0.500 1
Rh10 Rh 0.925 0.209 0.500 1
# V = 18.59 Å³/atom
# M_tot = 0.00 Bohr magnetons per cell
# Raw total energy = -7.41 eV/atom

---

Entry 5:
# GGA-PBE K3Rb4MgH8, relaxed
data_K3Rb4MgH8
_chemical_formula_sum 'K3 Rb4 Mg1 H8'
_cell_length_a 8.021
_cell_length_b 8.021
_cell_length_c 8.021
_cell_angle_alpha 59.38
_cell_angle_beta 59.38
_cell_angle_gamma 59.38
_symmetry_space_group_name_H-M 'P 1'
_symmetry_Int_Tables_number 1
loop_
_symmetry_equiv_pos_as_xyz
'x,y,z'
loop_
_atom_site_label
_atom_site_type_symbol
_atom_site_fract_x
_atom_site_fract_y
_atom_site_fract_z
_atom_site_occupancy
K1 K 0.000 0.500 0.500 1
K2 K 0.500 0.000 0.500 1
K3 K 0.500 0.500 0.000 1
Rb1 Rb 0.000 0.000 0.500 1
Rb2 Rb 0.000 0.500 0.000 1
Rb3 Rb 0.500 0.000 0.000 1
Rb4 Rb 0.500 0.500 0.500 1
Mg1 Mg 0.000 0.000 0.000 1
H1 H 0.191 0.191 0.804 1
H2 H 0.191 0.804 0.191 1
H3 H 0.196 0.809 0.809 1
H4 H 0.256 0.256 0.256 1
H5 H 0.744 0.744 0.744 1
H6 H 0.804 0.191 0.191 1
H7 H 0.809 0.196 0.809 1
H8 H 0.809 0.809 0.196 1
# V = 22.48 Å³/atom
# M_tot = 0.00 Bohr magnetons per cell
# Raw total energy = -2.33 eV/atom

---

Entry 6:
# GGA-PBE NaVRu, relaxed
data_NaVRu
_chemical_formula_sum 'Na2 V2 Ru2'
_cell_length_a 4.403
_cell_length_b 2.963
_cell_length_c 7.806
_cell_angle_alpha 90.00
_cell_angle_beta 105.99
_cell_angle_gamma 90.00
_symmetry_space_group_name_H-M 'P 1'
_symmetry_Int_Tables_number 1
loop_
_symmetry_equiv_pos_as_xyz
'x,y,z'
loop_
_atom_site_label
_atom_site_type_symbol
_atom_site_fract_x
_atom_site_fract_y
_atom_site_fract_z
_atom_site_occupancy
Na1 Na 0.000 0.000 0.000 1
Na2 Na 0.500 0.500 0.000 1
V1 V 0.187 0.500 0.371 1
V2 V 0.813 0.500 0.629 1
Ru1 Ru 0.317 0.000 0.638 1
Ru2 Ru 0.683 0.000 0.362 1
# V = 16.32 Å³/atom
# M_tot = 0.00 Bohr magnetons per cell
# Raw total energy = -6.29 eV/atom

---

Entry 7:
# GGA-PBE RbTl5Hg4, relaxed
data_RbTl5Hg4
_chemical_formula_sum 'Rb1 Tl5 Hg4'
_cell_length_a 5.687
_cell_length_b 7.175
_cell_length_c 9.080
_cell_angle_alpha 71.56
_cell_angle_beta 86.94
_cell_angle_gamma 70.64
_symmetry_space_group_name_H-M 'P 1'
_symmetry_Int_Tables_number 1
loop_
_symmetry_equiv_pos_as_xyz
'x,y,z'
loop_
_atom_site_label
_atom_site_type_symbol
_atom_site_fract_x
_atom_site_fract_y
_atom_site_fract_z
_atom_site_occupancy
Rb1 Rb 0.000 0.000 0.000 1
Tl1 Tl 0.000 0.000 0.500 1
Tl2 Tl 0.224 0.570 0.386 1
Tl3 Tl 0.348 0.313 0.135 1
Tl4 Tl 0.652 0.687 0.865 1
Tl5 Tl 0.776 0.430 0.614 1
Hg1 Hg 0.217 0.544 0.775 1
Hg2 Hg 0.422 0.131 0.638 1
Hg3 Hg 0.578 0.869 0.362 1
Hg4 Hg 0.783 0.456 0.225 1
# V = 33.10 Å³/atom
# M_tot = 0.00 Bohr magnetons per cell
# Raw total energy = -1.46 eV/atom

---

Entry 8:
# GGA-PBE NbAg7S6, relaxed
data_NbAg7S6
_chemical_formula_sum 'Nb1 Ag7 S6'
_cell_length_a 7.328
_cell_length_b 7.447
_cell_length_c 7.521
_cell_angle_alpha 115.79
_cell_angle_beta 118.90
_cell_angle_gamma 92.99
_symmetry_space_group_name_H-M 'P 1'
_symmetry_Int_Tables_number 1
loop_
_symmetry_equiv_pos_as_xyz
'x,y,z'
loop_
_atom_site_label
_atom_site_type_symbol
_atom_site_fract_x
_atom_site_fract_y
_atom_site_fract_z
_atom_site_occupancy
Nb1 Nb 0.000 0.000 0.000 1
Ag1 Ag 0.109 0.404 0.962 1
Ag2 Ag 0.306 0.734 0.909 1
Ag3 Ag 0.458 0.025 0.429 1
Ag4 Ag 0.548 0.476 0.703 1
Ag5 Ag 0.712 0.266 0.989 1
Ag6 Ag 0.783 0.916 0.308 1
Ag7 Ag 0.815 0.583 0.473 1
S1 S 0.066 0.813 0.193 1
S2 S 0.132 0.947 0.758 1
S3 S 0.136 0.358 0.290 1
S4 S 0.513 0.524 0.051 1
S5 S 0.617 0.872 0.735 1
S6 S 0.783 0.286 0.547 1
# V = 21.79 Å³/atom
# M_tot = 0.00 Bohr magnetons per cell
# Raw total energy = -4.14 eV/atom